Here is a relaxed CrPtBr2 crystal from Alexandria. Energies are from PBE-GGA.

Output
calculated density	9.32	g/cm³
formation energy (no corrections)	3.773	eV/f.u.
magnetization	0.05	Bohr magnetons per cell

Unit cell a=4.6799 b=4.6799 c=4.6799 alpha=60.00 beta=60.00 gamma=60.00
Closest atoms and distances in Å follow each position.
Element x y z (fractional)
Cr (0.0000, 0.0000, 0.0000)  8 Br 2.87
Br (0.2500, 0.2500, 0.2500)  4 Cr 2.87, 4 Pt 2.87
Br (0.7500, 0.7500, 0.7500)  4 Cr 2.87, 4 Pt 2.87
Pt (0.5000, 0.5000, 0.5000)  8 Br 2.87